First-principles (GGA-PBE) data for an optimized crystal structure of Dy5Hf3Pb12, as listed in Alexandria.

```
Dy5Hf3Pb12
1.0
-8.900 8.900 8.900
8.900 -8.900 8.900
8.900 8.900 -8.900
Dy Hf Pb
20 12 48
Cartesian
0.000 0.000 0.000 Dy
4.450 4.450 -4.450 Dy
4.450 -4.450 4.450 Dy
8.900 0.000 0.000 Dy
13.350 2.225 0.000 Dy
8.900 -4.450 6.675 Dy
6.675 8.900 -4.450 Dy
6.675 0.000 4.450 Dy
4.450 6.675 0.000 Dy
8.900 4.450 2.225 Dy
-4.450 4.450 4.450 Dy
0.000 8.900 0.000 Dy
0.000 0.000 8.900 Dy
4.450 4.450 4.450 Dy
0.000 4.450 6.675 Dy
4.450 2.225 8.900 Dy
2.225 8.900 4.450 Dy
2.225 0.000 13.350 Dy
0.000 13.350 2.225 Dy
-4.450 6.675 8.900 Dy
4.450 2.225 0.000 Hf
8.900 4.450 -2.225 Hf
2.225 0.000 4.450 Hf
11.125 0.000 4.450 Hf
0.000 4.450 2.225 Hf
4.450 -2.225 8.900 Hf
4.450 11.125 0.000 Hf
8.900 4.450 6.675 Hf
-2.225 8.900 4.450 Hf
6.675 8.900 4.450 Hf
0.000 4.450 11.125 Hf
4.450 6.675 8.900 Hf
8.696 -1.540 2.750 Pb
13.554 -1.700 2.910 Pb
2.750 -0.204 1.540 Pb
10.600 5.990 -4.654 Pb
11.650 0.204 1.540 Pb
10.600 -2.910 4.654 Pb
1.540 2.750 -0.204 Pb
11.810 4.246 -1.700 Pb
5.990 4.654 -1.700 Pb
7.360 2.750 0.204 Pb
-0.204 1.540 2.750 Pb
4.654 -1.700 5.990 Pb
8.696 7.360 -2.750 Pb
4.654 1.700 2.910 Pb
7.360 -2.750 8.696 Pb
5.990 -4.654 10.600 Pb
2.910 4.654 1.700 Pb
10.440 6.150 0.204 Pb
2.750 8.696 -1.540 Pb
10.600 2.910 4.246 Pb
1.700 2.910 4.654 Pb
2.750 0.204 7.360 Pb
4.654 10.600 -2.910 Pb
8.696 1.540 6.150 Pb
0.204 7.360 2.750 Pb
4.246 -1.700 11.810 Pb
6.150 8.696 1.540 Pb
7.200 5.990 4.246 Pb
-1.700 5.990 4.654 Pb
6.150 0.204 10.440 Pb
-1.540 2.750 8.696 Pb
5.990 4.246 7.200 Pb
2.910 13.554 -1.700 Pb
1.540 11.650 0.204 Pb
4.246 7.200 5.990 Pb
0.204 1.540 11.650 Pb
4.246 10.600 2.910 Pb
9.104 7.360 6.150 Pb
1.540 6.150 8.696 Pb
2.910 4.246 10.600 Pb
-2.910 4.654 10.600 Pb
7.360 6.150 9.104 Pb
-1.700 11.810 4.246 Pb
-2.750 8.696 7.360 Pb
-1.700 2.910 13.554 Pb
6.150 9.104 7.360 Pb
-4.654 10.600 5.990 Pb
0.204 10.440 6.150 Pb
```

DFT formation energy = 267 meV per atom
Raw total energy = -4.6017 eV/atom



First-principles (GGA-PBE) data for an optimized crystal structure of DyHfPb, as listed in Alexandria.

```
DyHfPb
1.0
1.708 -9.397 0.000
1.708 9.397 0.000
0.000 0.000 4.997
Dy Hf Pb
2 2 2
Cartesian
1.708 7.243 3.748 Dy
1.708 -7.243 1.249 Dy
1.708 4.107 3.748 Hf
1.708 -4.107 1.249 Hf
1.708 0.970 3.748 Pb
1.708 -0.970 1.249 Pb
```

DFT formation energy = -48 meV per atom
Raw total energy = -6.1357 eV/atom



First-principles (GGA-PBE) data for an optimized crystal structure of DyHfPb2, as listed in Alexandria.

```
DyHfPb2
1.0
4.835 0.000 0.000
0.000 4.835 0.000
0.000 0.000 4.400
Dy Hf Pb
1 1 2
Cartesian
0.000 0.000 0.000 Dy
2.418 2.418 0.000 Hf
0.000 2.418 2.200 Pb
2.418 0.000 2.200 Pb
```

Offset from the most stable computed form = 36 meV per atom
DFT formation energy = -101 meV per atom
Raw total energy = -5.5945 eV/atom



First-principles (GGA-PBE) data for an optimized crystal structure of Dy2HfPd8, as listed in Alexandria.

```
Dy2HfPd8
1.0
7.323 -2.088 0.000
7.323 2.088 0.000
-2.175 0.000 6.360
Dy Hf Pd
2 1 8
Cartesian
2.815 0.000 1.054 Dy
9.656 0.000 5.306 Dy
6.236 0.000 3.180 Hf
0.022 0.000 1.431 Pd
0.560 0.000 4.265 Pd
3.507 0.000 3.777 Pd
5.847 0.000 0.411 Pd
6.624 0.000 5.949 Pd
8.965 0.000 2.583 Pd
11.911 0.000 2.095 Pd
12.449 0.000 4.929 Pd
```

DFT formation energy = -746 meV per atom
Raw total energy = -6.2642 eV/atom



First-principles (GGA-PBE) data for an optimized crystal structure of DyHfPd4, as listed in Alexandria.

```
DyHfPd4
1.0
6.780 0.000 0.000
0.000 4.086 0.000
0.000 0.000 16.296
Dy Hf Pd
4 4 16
Cartesian
1.212 1.021 3.425 Dy
2.178 3.064 11.573 Dy
4.602 1.021 4.723 Dy
5.567 3.064 12.871 Dy
1.304 3.064 7.738 Hf
2.086 1.021 15.886 Hf
4.694 3.064 0.410 Hf
5.475 1.021 8.557 Hf
0.285 3.064 15.338 Pd
0.426 1.021 6.163 Pd
0.907 1.021 13.397 Pd
1.492 1.021 9.607 Pd
1.897 3.064 1.459 Pd
2.483 3.064 5.249 Pd
2.964 3.064 14.310 Pd
3.105 1.021 7.190 Pd
3.675 3.064 9.106 Pd
3.815 1.021 1.985 Pd
4.296 1.021 11.047 Pd
4.882 1.021 14.837 Pd
5.287 3.064 6.689 Pd
5.873 3.064 2.899 Pd
6.354 3.064 10.133 Pd
6.495 1.021 0.958 Pd
```

DFT formation energy = -737 meV per atom
Raw total energy = -6.6253 eV/atom



First-principles (GGA-PBE) data for an optimized crystal structure of DyHfPd6, as listed in Alexandria.

```
DyHfPd6
1.0
4.063 0.000 0.000
0.000 4.063 0.000
0.000 0.000 8.136
Dy Hf Pd
1 1 6
Cartesian
0.000 0.000 0.000 Dy
0.000 0.000 4.068 Hf
0.000 2.031 2.119 Pd
0.000 2.031 6.016 Pd
2.031 0.000 2.119 Pd
2.031 0.000 6.016 Pd
2.031 2.031 0.000 Pd
2.031 2.031 4.068 Pd
```

DFT formation energy = -899 meV per atom
Raw total energy = -6.6135 eV/atom